The following is a DFT calculation (PBE with a Hubbard U) of a geometry-optimized LiY3WO8 structure.

Lattice parameters (Å, degrees): 5.9542 5.9732 6.1823 90.00 116.93 90.00
Atoms (fractional coordinates):
Li  0.0000  0.0000  0.0000
Y  0.0000  0.4890  0.0000
Y  0.5000  0.2566  0.5000
Y  0.5000  0.9903  0.0000
W  0.0000  0.7555  0.5000
O  0.1574  0.7681  0.8669
O  0.1973  0.5250  0.4391
O  0.2615  0.9774  0.5654
O  0.2783  0.2196  0.1017
O  0.7217  0.2196  0.8983
O  0.7385  0.9774  0.4346
O  0.8027  0.5250  0.5609
O  0.8426  0.7681  0.1331

## Properties
Total magnetization: 0.000 μB/atom
Fermi-level density of states: 0.00 states/eV/cell
Space-group type: P2
Distance to the lowest polymorph of the same formula: 0 meV/atom
Total DFT energy (no corrections): -8.165 eV/atom